Density functional theory data (PBE-GGA) for a geometry-optimized LaAl3Ag3 structure.

The formation enthalpy at 0 K comes out at -105 meV per atom. The calculation puts the uncorrected energy at -152.68 eV/cell.

It has space group R-3 (No. 148, hexagonal axes), with a = 8.2787 Å, b = 8.2787 Å, c = 15.7679 Å, α = 90.00°, β = 90.00° and γ = 120.00°. The distinct sites, in fractional coordinates, are La at (0.0000, 0.0000, 0.1763), Al at (0.0033, 0.3494, 0.2931) and Ag at (0.9998, 0.2644, 0.4461).